(1)
The following is a DFT calculation (PBE-GGA) of a relaxed Tl2PbCl crystal.

POSCAR file:
```
Tl2PbCl
1.0
5.754 0.000 0.000
0.000 3.536 -0.058
0.000 3.089 5.936
Pb Tl Cl
1 2 1
Direct
0.500 0.750 0.750
0.000 0.185 0.008
0.000 0.315 0.492
0.500 0.250 0.250
```

Computed properties:
E_form (uncorrected) ... -0.303 eV per atom
Electronic total energy ... -2.88 eV per atom
Symmetry ... No. 10
E above lowest polymorph ... 4.9 kJ/mol of atoms

---

(2)
The following is a DFT calculation (PBE-GGA) of a relaxed Rb2NaCu2F7 crystal.

POSCAR file:
```
Rb2NaCu2F7
1.0
4.100 -0.003 0.011
0.002 4.100 0.011
2.023 2.021 10.845
F Cu Na Rb
7 2 1 2
Direct
0.500 0.500 0.000
0.315 0.315 0.370
0.586 0.086 0.827
0.414 0.914 0.173
0.685 0.685 0.630
0.914 0.414 0.173
0.086 0.586 0.827
0.591 0.591 0.818
0.409 0.409 0.182
0.000 0.000 0.000
0.818 0.818 0.364
0.182 0.182 0.636
```

Computed properties:
E_form (uncorrected) ... -2.151 eV per atom
Electronic total energy ... -4.20 eV per atom
Symmetry ... No. 139

---

(3)
The following is a DFT calculation (PBE-GGA) of a relaxed MgSc3Tc crystal.

POSCAR file:
```
MgSc3Tc
1.0
-0.920 0.871 3.105
-5.458 -4.973 -0.224
7.178 -5.178 1.765
Tc Sc Mg
2 6 2
Direct
0.015 0.664 0.287
0.815 0.560 0.889
0.414 0.411 0.085
0.604 0.920 0.463
0.227 0.305 0.712
0.417 0.813 0.090
0.234 0.739 0.724
0.597 0.486 0.451
0.820 0.069 0.897
0.010 0.156 0.278
```

Computed properties:
Electronic total energy ... -6.35 eV per atom
Symmetry ... No. 12
E above lowest polymorph ... 0.0 kJ/mol of atoms
Calculated formation energy ... -0.799 eV/f.u.

---

(4)
The following is a DFT calculation (PBE-GGA) of a relaxed LaGa3Ru3 crystal.

POSCAR file:
```
LaGa3Ru3
1.0
6.729 0.000 0.000
0.000 6.729 0.000
0.000 0.000 6.729
Ga La Ru
6 2 6
Direct
0.500 0.000 0.250
0.000 0.250 0.500
0.750 0.500 0.000
0.250 0.500 0.000
0.000 0.750 0.500
0.500 0.000 0.750
0.000 0.000 0.000
0.500 0.500 0.500
0.500 0.750 0.000
0.250 0.000 0.500
0.750 0.000 0.500
0.000 0.500 0.250
0.000 0.500 0.750
0.500 0.250 0.000
```

Computed properties:
Electronic total energy ... -5.80 eV per atom
Symmetry ... No. 223
E above lowest polymorph ... 30.7 kJ/mol of atoms
Calculated formation energy ... 1.268 eV/f.u.

---

Repeat the third record exactly.
The following is a DFT calculation (PBE-GGA) of a relaxed MgSc3Tc crystal.

POSCAR file:
```
MgSc3Tc
1.0
-0.920 0.871 3.105
-5.458 -4.973 -0.224
7.178 -5.178 1.765
Tc Sc Mg
2 6 2
Direct
0.015 0.664 0.287
0.815 0.560 0.889
0.414 0.411 0.085
0.604 0.920 0.463
0.227 0.305 0.712
0.417 0.813 0.090
0.234 0.739 0.724
0.597 0.486 0.451
0.820 0.069 0.897
0.010 0.156 0.278
```

Computed properties:
Electronic total energy ... -6.35 eV per atom
Symmetry ... No. 12
E above lowest polymorph ... 0.0 kJ/mol of atoms
Calculated formation energy ... -0.799 eV/f.u.